[1]
Computed, not measured: a relaxed structure of LiTaFe2 at the PBE-GGA level of DFT.

The structure in extended XYZ format:
```
8
Lattice="-2.845 4.139 4.188 -1.556 -5.014 3.899 0.025 -0.163 5.284" Properties=species:S:1:pos:R:3 pbc="T T T"
Fe -1.920 1.852 4.357
Ta 0.000 0.000 0.000
Fe -1.368 -2.590 4.349
Li -1.865 -2.808 6.613
Fe -3.806 -0.807 10.975
Ta -2.510 1.769 6.758
Fe -1.657 -0.533 7.059
Li -2.200 -0.438 4.043
```

E_form	0.58	eV/atom
space-group type	I-42d

[2]
Computed, not measured: a relaxed structure of Cs7H2Au2 at the PBE-GGA level of DFT.

The structure in extended XYZ format:
```
11
Lattice="-1.831 8.387 -1.386 -3.862 -0.224 8.525 9.282 1.202 -0.213" Properties=species:S:1:pos:R:3 pbc="T T T"
Cs 1.928 2.279 3.272
Cs 1.661 7.085 3.654
Cs 1.435 2.841 7.627
Au -0.434 4.441 4.944
Au 4.023 4.924 1.982
H 3.672 1.653 5.792
Cs -2.424 6.027 2.342
Cs 0.000 0.000 0.000
Cs 6.013 3.338 4.584
Cs 2.154 6.523 -0.701
H -0.083 7.712 1.134
```

distance to the lowest polymorph of the same formula	0.000	eV per atom
space-group type	C2/m

[3]
Computed, not measured: a relaxed structure of TlSb3Pd3 at the PBE-GGA level of DFT.

The structure in extended XYZ format:
```
14
Lattice="-0.943 -7.089 -1.806 6.307 -1.711 3.420 -3.706 -1.107 6.281" Properties=species:S:1:pos:R:3 pbc="T T T"
Sb -0.276 -0.981 3.995
Pd 4.259 -4.827 1.662
Pd -2.560 -5.870 1.785
Sb -1.398 -3.821 0.667
Tl 0.829 -4.953 3.947
Pd 1.105 -3.972 -0.048
Pd -2.089 -2.326 2.689
Tl 0.000 0.000 0.000
Sb -3.251 -4.375 3.807
Pd 2.227 -1.132 3.280
Sb 2.446 -6.172 0.355
Sb 2.878 -1.837 5.705
Pd 0.374 -1.686 6.420
Sb 2.918 -2.628 1.258
```

space-group type	Pm-3n
ΔE_f (raw)	-0.08	eV/atom

[4]
Computed, not measured: a relaxed structure of Re2PRh at the PBE-GGA level of DFT.

The structure in extended XYZ format:
```
4
Lattice="-0.808 -1.843 -3.095 0.836 -3.182 1.676 -3.994 -0.381 1.269" Properties=species:S:1:pos:R:3 pbc="T T T"
P -1.997 -0.191 0.635
Re -0.404 -0.922 -1.548
Rh -1.983 -2.703 -0.075
Re 0.418 -1.591 0.838
```

E_form	0.39	eV/atom
space-group type	P4/mmm

[5]
Computed, not measured: a relaxed structure of Ac3Tm5S12 at the PBE-GGA level of DFT.

The structure in extended XYZ format:
```
80
Lattice="-8.078 5.688 10.285 1.558 -13.978 2.361 12.806 6.276 -0.005" Properties=species:S:1:pos:R:3 pbc="T T T"
Ac 10.585 2.708 1.872
S 8.881 1.040 3.926
Tm 3.510 0.948 10.472
S 0.799 -2.968 11.322
Tm 7.325 -1.437 8.195
Tm -4.039 2.844 5.143
S 5.526 2.488 10.377
S 0.451 -7.685 3.782
Tm 0.000 0.000 0.000
S -1.267 -3.078 4.824
S 7.842 4.242 6.287
Tm -1.039 -0.577 4.447
Ac 1.146 -5.034 5.332
S 10.900 -0.369 1.351
Ac 2.978 2.028 2.865
S -1.559 -6.266 10.634
S 5.512 -9.897 3.048
Tm 5.342 8.010 8.005
Ac 0.143 2.414 7.017
S 1.892 -6.300 8.103
S 0.774 7.883 9.593
S 7.128 -2.374 3.453
S 2.292 -0.622 1.311
Tm 0.944 -10.024 4.637
S -0.690 3.863 9.671
S -2.595 -3.053 8.716
S 11.050 5.807 2.009
Ac 9.958 -6.812 3.348
S -2.401 0.870 6.027
S 2.315 -11.469 3.063
S 1.269 0.368 4.922
S 9.800 -4.058 1.856
S 8.687 -2.884 6.615
Ac 3.308 -4.042 9.777
S 8.557 -6.386 6.122
Ac -3.873 -0.191 8.599
Tm -0.484 -7.107 8.493
S 0.888 3.859 4.321
S 5.017 -2.382 7.719
S 6.976 -5.877 2.971
Tm -0.282 -2.117 9.188
Tm 4.961 -7.419 3.055
Tm 1.325 5.405 9.587
S 0.760 -4.502 2.265
S 4.778 0.792 5.116
Ac -3.672 4.799 9.294
Tm -3.260 -4.145 6.323
S 1.508 -2.806 7.525
S -0.842 0.360 9.189
S 3.971 9.455 9.579
Tm 2.776 -2.962 2.170
S 4.394 4.286 4.539
S 3.488 -3.079 4.604
S 5.835 5.671 8.860
S -2.271 4.372 6.520
Tm 6.770 5.093 4.148
S -3.514 2.044 10.786
S 7.553 1.064 7.818
S 3.891 -6.569 5.195
S 11.371 -4.547 5.016
S -5.085 2.533 7.626
S 2.798 1.065 8.038
Ac -4.299 -4.722 10.770
S 2.395 4.555 7.447
Tm 2.364 5.982 5.140
Tm 6.403 3.138 -0.002
S -1.556 -6.256 6.355
Tm 7.182 -3.851 1.178
Tm 3.143 -1.007 6.321
S 5.487 0.954 1.320
S 5.398 -5.873 8.321
Ac 10.159 -1.822 4.043
S 7.845 4.252 2.007
Ac 5.140 3.020 7.310
S 3.994 -1.392 11.331
Tm 6.568 0.103 3.454
Tm 0.779 -6.989 1.181
Ac 6.143 -4.428 5.625
S -4.764 -7.821 10.633
S -4.614 -1.645 11.291
```

space-group type	Ia-3d
ΔE_f (raw)	-2.04	eV/atom

[6]
Computed, not measured: a relaxed structure of AgSeS at the PBE-GGA level of DFT.

The structure in extended XYZ format:
```
3
Lattice="3.825 0.000 0.000 -1.912 3.312 0.000 0.000 0.000 4.675" Properties=species:S:1:pos:R:3 pbc="T T T"
S 0.000 2.208 3.278
Se 1.912 1.104 1.447
Ag 0.000 0.000 4.624
```

distance to the lowest polymorph of the same formula	0.238	eV per atom
space-group type	P3m1
ΔE_f (raw)	0.23	eV/atom

[7]
Computed, not measured: a relaxed structure of La5AlHg2 at the PBE-GGA level of DFT.

The structure in extended XYZ format:
```
16
Lattice="5.508 0.000 0.000 0.000 6.878 0.000 0.000 0.000 13.125" Properties=species:S:1:pos:R:3 pbc="T T T"
La 2.754 2.508 7.891
La 0.000 1.234 10.249
Al 0.000 0.000 0.000
La 0.000 0.000 6.562
Hg 2.754 0.711 4.676
La 2.754 5.947 11.796
La 0.000 2.205 3.687
La 2.754 0.931 1.329
Hg 2.754 6.167 8.448
La 0.000 5.644 2.875
La 0.000 3.439 0.000
Al 0.000 3.439 6.562
La 0.000 4.673 9.438
Hg 2.754 4.150 1.886
Hg 2.754 2.728 11.239
La 2.754 4.370 5.234
```

E_form	-0.33	eV/atom
space-group type	Pbam

[8]
Computed, not measured: a relaxed structure of HgGe2Au2 at the PBE-GGA level of DFT.

The structure in extended XYZ format:
```
10
Lattice="8.336 0.000 0.000 0.000 8.336 0.000 0.000 0.000 2.948" Properties=species:S:1:pos:R:3 pbc="T T T"
Au 5.527 1.359 0.000
Hg 4.168 4.168 0.000
Au 6.978 5.527 0.000
Ge 1.107 5.275 1.474
Au 2.810 6.978 0.000
Hg 0.000 0.000 0.000
Au 1.359 2.810 0.000
Ge 5.275 7.229 1.474
Ge 3.061 1.107 1.474
Ge 7.229 3.061 1.474
```

distance to the lowest polymorph of the same formula	0.056	eV per atom
E_form	0.10	eV/atom
space-group type	P4/mbm

[9]
Computed, not measured: a relaxed structure of YCr2Ir at the PBE-GGA level of DFT.

The structure in extended XYZ format:
```
4
Lattice="-8.401 -2.180 -1.279 -7.091 -4.435 -2.647 -7.512 -4.524 0.266" Properties=species:S:1:pos:R:3 pbc="T T T"
Ir -11.782 -5.705 -1.875
Cr -5.887 -2.851 -0.937
Cr -22.607 -10.947 -3.597
Y -17.234 -8.346 -2.742
```

distance to the lowest polymorph of the same formula	0.337	eV per atom
E_form	0.42	eV/atom
space-group type	R3m

[10]
Computed, not measured: a relaxed structure of Th2NpCo at the PBE-GGA level of DFT.

The structure in extended XYZ format:
```
4
Lattice="-1.649 -2.523 -2.011 1.300 -3.381 -0.089 -5.771 -4.343 6.914" Properties=species:S:1:pos:R:3 pbc="T T T"
Co -3.060 -5.123 2.407
Th -2.191 -6.678 0.380
Np 0.000 0.000 0.000
Th -3.928 -3.569 4.433
```

E_form	0.45	eV/atom
space-group type	R-3m

[11]
Computed, not measured: a relaxed structure of BaTl4Hg2 at the PBE-GGA level of DFT.

The structure in extended XYZ format:
```
7
Lattice="-3.589 -0.981 3.340 -1.069 -4.296 -2.411 6.493 -2.209 6.328" Properties=species:S:1:pos:R:3 pbc="T T T"
Hg -1.368 -3.342 1.291
Tl 3.711 -2.714 3.191
Tl 1.712 -3.791 0.727
Hg 3.203 -4.145 5.966
Tl 0.413 -2.105 3.568
Ba 0.000 0.000 0.000
Tl 1.422 -5.382 3.690
```

E_form	-0.20	eV/atom
space-group type	Cmmm

[12]
Computed, not measured: a relaxed structure of VCd2Cu at the PBE-GGA level of DFT.

The structure in extended XYZ format:
```
4
Lattice="2.840 0.000 0.000 1.420 2.459 0.000 1.420 0.820 10.268" Properties=species:S:1:pos:R:3 pbc="T T T"
Cd 4.259 2.459 2.823
Cu 2.840 1.639 5.134
Cd 1.420 0.820 7.445
V 0.000 0.000 0.000
```

distance to the lowest polymorph of the same formula	0.181	eV per atom
E_form	0.52	eV/atom
space-group type	R-3m

So what do the calculations give for spin magnetization? Going down the list: 0.749, 0.000, 0.000, 0.000, 0.000, 0.000, 0.000, 0.000, 0.000, 1.229, 0.000, 0.332 μB per atom.